## DyCdH6Ir2 (PBE-GGA)

Data for DyCdH6Ir2 after structural relaxation.

Output
E = -4.58 eV/atom

a b c (Å): 6.1473 6.1473 5.6170
angles (deg): 99.88 99.88 102.63
Fractional coordinates of all 20 atoms:
Dy  0.1574  0.8426  0.7500
Dy  0.8426  0.1574  0.2500
Cd  0.3782  0.6218  0.2500
Cd  0.6218  0.3782  0.7500
H  0.0264  0.5558  0.3884
H  0.1702  0.1719  0.0695
H  0.1719  0.1702  0.5695
H  0.3127  0.5296  0.8576
H  0.4442  0.9736  0.1116
H  0.4704  0.6873  0.6424
H  0.5296  0.3127  0.3576
H  0.5558  0.0264  0.8884
H  0.6873  0.4704  0.1424
H  0.8281  0.8298  0.4305
H  0.8298  0.8281  0.9305
H  0.9736  0.4442  0.6116
Ir  0.0797  0.3191  0.8244
Ir  0.3191  0.0797  0.3244
Ir  0.6809  0.9203  0.6756
Ir  0.9203  0.6809  0.1756